Record 1
VASP calculation (PBE) on an optimized crystal structure of Ta3InPb.

E_form = 10.930 eV/f.u.
polymorph energy (0 for the lowest one) = 210.6 meV per atom
SG = Pm-3m

Cell lengths 5.1173, 5.1173, 5.1173 Å; angles 90.00, 90.00, 90.00 degrees
Fractional positions:
Ta 0.0000 0.0000 0.5000
Ta 0.0000 0.5000 0.0000
Ta 0.5000 0.0000 0.0000
In 0.5000 0.5000 0.5000
Pb 0.0000 0.0000 0.0000

Record 2
VASP calculation (PBE) on an optimized crystal structure of FeSb2Te.

formation energy from raw total energies = 0.234 eV/atom
SG = Imm2

Cell lengths 7.0009, 7.0009, 7.0009 Å; angles 152.59, 140.73, 48.56 degrees
Fractional positions:
Fe 0.0000 0.0000 0.0000
Sb 0.1737 0.6737 0.5000
Sb 0.5166 0.5166 0.0000
Te 0.8379 0.3379 0.5000

Record 3
VASP calculation (PBE) on an optimized crystal structure of ThTi2In.

E_form = 0.041 eV/f.u.
polymorph energy (0 for the lowest one) = 30.3 meV per atom
SG = Fm-3m

Cell lengths 4.9427, 4.9427, 4.9427 Å; angles 60.00, 60.00, 60.00 degrees
Fractional positions:
Th 0.0000 0.0000 0.0000
Ti 0.2500 0.2500 0.2500
Ti 0.7500 0.7500 0.7500
In 0.5000 0.5000 0.5000

Record 4
VASP calculation (PBE) on an optimized crystal structure of CeInSn.

E_form = -0.747 eV/f.u.
polymorph energy (0 for the lowest one) = 218.9 meV per atom
SG = P2_13

Cell lengths 7.2314, 7.2314, 7.2314 Å; angles 90.00, 90.00, 90.00 degrees
Fractional positions:
Ce 0.1941 0.3059 0.6941
Ce 0.3059 0.6941 0.1941
Ce 0.6941 0.1941 0.3059
Ce 0.8059 0.8059 0.8059
In 0.2355 0.2355 0.2355
In 0.2645 0.7645 0.7355
In 0.7355 0.2645 0.7645
In 0.7645 0.7355 0.2645
Sn 0.0505 0.9495 0.4495
Sn 0.4495 0.0505 0.9495
Sn 0.5505 0.5505 0.5505
Sn 0.9495 0.4495 0.0505

no.,DOS(E_F) (states/eV per cell)
1,10.998
2,4.027
3,6.277
4,29.279